1.
{
  "formula": "BaCa8Rh2",
  "functional": "PBE",
  "state": "relaxed",
  "cell": [[6.4215, 0.2103, 0.1092], [-0.1637, 6.6067, -3.0995], [0.6746, 0.3939, 9.3995]],
  "species": ["Ca", "Ca", "Ca", "Ca", "Ca", "Ca", "Ca", "Ca", "Rh", "Rh", "Ba"],
  "fractional_positions": [[0.6003, 0.8986, 0.2928], [0.1691, 0.5820, 0.1641], [0.6003, 0.3942, 0.2928], [0.3997, 0.6058, 0.7072], [0.8948, 0.7822, 0.5644], [0.1052, 0.2178, 0.4356], [0.8309, 0.4180, 0.8359], [0.3997, 0.1014, 0.7072], [0.3275, 0.7287, 0.4574], [0.6725, 0.2713, 0.5426], [0.0000, 0.0000, 0.0000]],
  "formation_energy_ev_per_fu": -1.62
}

---

2.
{
  "formula": "TbCeCl4",
  "functional": "PBE",
  "state": "relaxed",
  "cell": [[-0.5407, -0.7451, 6.4635], [4.6649, -4.7593, -0.2103], [3.5243, 8.1795, -2.0336]],
  "species": ["Tb", "Tb", "Cl", "Cl", "Cl", "Cl", "Cl", "Cl", "Cl", "Cl", "Ce", "Ce"],
  "fractional_positions": [[0.2987, 0.5487, 0.0975], [0.7013, 0.4513, 0.9025], [0.3619, 0.5007, 0.6379], [0.9860, 0.2890, 0.1174], [0.7760, 0.1371, 0.6379], [0.0140, 0.7110, 0.8826], [0.2240, 0.8629, 0.3621], [0.6314, 0.8284, 0.1174], [0.3686, 0.1716, 0.8826], [0.6381, 0.4993, 0.3621], [0.0460, 0.7960, 0.5920], [0.9540, 0.2040, 0.4081]],
  "raw_formation_energy_ev_per_fu": -11.1
}

---

3.
{
  "formula": "Pr8Er2Cd",
  "functional": "PBE",
  "state": "relaxed",
  "cell": [[-4.6302, 2.1799, -2.3148], [-4.1129, -1.3616, 6.9447], [6.2190, 6.9613, 0.9306]],
  "species": ["Pr", "Pr", "Pr", "Pr", "Pr", "Pr", "Pr", "Pr", "Cd", "Er", "Er"],
  "fractional_positions": [[0.3357, 0.0894, 0.6715], [0.9863, 0.2501, 0.9727], [0.6643, 0.9106, 0.3285], [0.1754, 0.2183, 0.3508], [0.8246, 0.7817, 0.6492], [0.6107, 0.4327, 0.2214], [0.0137, 0.7499, 0.0273], [0.3893, 0.5673, 0.7786], [0.5000, 0.0000, 0.0000], [0.8060, 0.3437, 0.6120], [0.1940, 0.6563, 0.3880]],
  "formation_energy_ev_per_fu": 0.41
}

---

4.
{
  "formula": "YCuAu2",
  "functional": "PBE",
  "state": "relaxed",
  "cell": [[-3.2461, -0.2584, -1.3757], [-0.3415, -3.2232, 1.4111], [-2.3934, 2.5190, 5.1746]],
  "species": ["Y", "Au", "Au", "Cu"],
  "fractional_positions": [[0.5000, 0.5000, 0.7503], [0.0000, 0.0000, 0.0160], [0.5000, 0.5000, 0.2769], [0.0000, 0.0000, 0.4568]],
  "formation_energy_ev_per_fu": -1.70
}

---

5.
{
  "formula": "Cr2NiPb",
  "functional": "PBE",
  "state": "relaxed",
  "cell": [[4.4652, 0.0000, 0.0000], [2.2326, 3.8670, 0.0000], [2.2326, 1.2890, 3.6458]],
  "species": ["Pb", "Ni", "Cr", "Cr"],
  "fractional_positions": [[0.7500, 0.7500, 0.7500], [0.5000, 0.5000, 0.5000], [0.0000, 0.0000, 0.0000], [0.2500, 0.2500, 0.2500]],
  "formation_energy_ev_per_fu": 1.73
}

---

6.
{
  "formula": "GaReSeBr2",
  "functional": "PBE",
  "state": "relaxed",
  "cell": [[5.1056, 0.0000, 0.0000], [0.0000, 5.1056, 0.0000], [0.0000, 0.0000, 5.2091]],
  "species": ["Ga", "Se", "Br", "Br", "Re"],
  "fractional_positions": [[0.0000, 0.0000, 0.0000], [0.0000, 0.0000, 0.5000], [0.5000, 0.0000, 0.0000], [0.0000, 0.5000, 0.0000], [0.5000, 0.5000, 0.5000]],
  "raw_formation_energy_ev_per_fu": 4.8
}

---

7.
{
  "formula": "LiTaFe2",
  "functional": "PBE",
  "state": "relaxed",
  "cell": [[4.9487, 0.0087, -0.0651], [2.3281, 4.3669, 0.0651], [-3.2257, -2.8743, 2.4142]],
  "species": ["Fe", "Fe", "Li", "Ta"],
  "fractional_positions": [[0.7599, 0.2599, 0.5000], [0.9849, 0.9849, 0.0000], [0.5132, 0.5132, 0.0000], [0.2421, 0.7421, 0.5000]],
  "formation_energy_ev_per_fu": 0.70
}

---

8.
{
  "formula": "Cd2InHAu",
  "functional": "PBE",
  "state": "relaxed",
  "cell": [[-0.5531, -0.3874, -5.5489], [-4.2059, -3.6202, 0.6720], [-2.2789, 2.6554, 0.0418]],
  "species": ["Cd", "Cd", "In", "Au", "H"],
  "fractional_positions": [[0.0000, 0.5000, 0.0000], [0.5000, 0.0000, 0.0000], [0.5000, 0.5000, 0.5000], [0.0000, 0.0000, 0.0000], [0.0000, 0.0000, 0.5000]],
  "energy_ev_per_atom": -2.1401
}

---

9.
{
  "formula": "Zn3Cu6Pt",
  "functional": "PBE",
  "state": "relaxed",
  "cell": [[4.7084, 0.0000, 0.0000], [0.0000, 7.9343, -0.8051], [0.0000, -2.5553, 7.5546]],
  "species": ["Cu", "Cu", "Cu", "Cu", "Cu", "Cu", "Cu", "Cu", "Cu", "Cu", "Cu", "Cu", "Zn", "Zn", "Zn", "Zn", "Zn", "Zn", "Pt", "Pt"],
  "fractional_positions": [[0.5420, 0.5950, 0.6970], [0.3677, 0.0383, 0.4714], [0.1451, 0.7221, 0.2779], [0.5420, 0.3030, 0.4050], [0.0420, 0.6970, 0.5950], [0.6451, 0.2779, 0.7221], [0.8677, 0.9617, 0.5286], [0.3286, 0.9693, 0.0307], [0.0420, 0.4050, 0.3030], [0.8677, 0.4714, 0.0383], [0.3677, 0.5286, 0.9617], [0.8286, 0.0307, 0.9693], [0.4751, 0.9055, 0.7061], [0.0978, 0.3808, 0.6192], [0.5978, 0.6192, 0.3808], [0.4751, 0.2939, 0.0945], [0.9751, 0.0945, 0.2939], [0.9751, 0.7061, 0.9055], [0.1444, 0.1846, 0.8154], [0.6444, 0.8154, 0.1846]],
  "formation_energy_ev_per_fu": -0.09
}

---

10.
{
  "formula": "Pr4SnGe3",
  "functional": "PBE",
  "state": "relaxed",
  "cell": [[4.5819, 0.0000, 0.0000], [0.0000, 4.1830, 0.0000], [0.0000, 0.0000, 11.3679]],
  "species": ["Ge", "Ge", "Ge", "Sn", "Pr", "Pr", "Pr", "Pr"],
  "fractional_positions": [[0.5000, 0.0000, 0.9098], [0.0000, 0.0000, 0.4216], [0.0000, 0.5000, 0.5815], [0.5000, 0.5000, 0.0797], [0.5000, 0.5000, 0.3693], [0.0000, 0.0000, 0.1442], [0.0000, 0.5000, 0.8575], [0.5000, 0.0000, 0.6365]],
  "formation_energy_ev_per_fu": -6.45
}

---

11.
{
  "formula": "BaPtW",
  "functional": "PBE",
  "state": "relaxed",
  "cell": [[5.0690, 0.0000, 0.0000], [2.5345, 4.3899, 0.0000], [2.5345, 1.4633, 4.1388]],
  "species": ["Pt", "Ba", "W"],
  "fractional_positions": [[0.0000, 0.0000, 0.0000], [0.2500, 0.2500, 0.2500], [0.5000, 0.5000, 0.5000]],
  "formation_energy_ev_per_fu": 6.04
}

---

12.
{
  "formula": "Ho2TmTc",
  "functional": "PBE",
  "state": "relaxed",
  "cell": [[6.1822, 0.0000, 0.0000], [0.0000, 7.3963, 0.0000], [0.0000, 0.0000, 9.0963]],
  "species": ["Tc", "Tc", "Tc", "Tc", "Ho", "Ho", "Ho", "Ho", "Ho", "Ho", "Ho", "Ho", "Tm", "Tm", "Tm", "Tm"],
  "fractional_positions": [[0.0415, 0.3851, 0.2500], [0.9585, 0.6149, 0.7500], [0.4585, 0.8851, 0.2500], [0.5415, 0.1149, 0.7500], [0.8422, 0.3234, 0.5630], [0.3422, 0.1766, 0.4370], [0.8422, 0.3234, 0.9370], [0.1578, 0.6766, 0.4370], [0.6578, 0.8234, 0.9370], [0.6578, 0.8234, 0.5630], [0.3422, 0.1766, 0.0630], [0.1578, 0.6766, 0.0630], [0.3714, 0.4583, 0.7500], [0.1286, 0.9583, 0.7500], [0.8714, 0.0417, 0.2500], [0.6286, 0.5417, 0.2500]],
  "formation_energy_ev_per_fu": -0.50
}

---

13.
{
  "formula": "TaInRh2",
  "functional": "PBE",
  "state": "relaxed",
  "cell": [[-1.8220, 2.0458, 4.4428], [1.8220, -2.0458, 4.4428], [1.8220, 2.0458, -4.4428]],
  "species": ["In", "Rh", "Rh", "Ta"],
  "fractional_positions": [[0.7481, 0.2481, 0.5000], [0.9981, 0.9981, 0.0000], [0.2616, 0.7616, 0.5000], [0.4922, 0.4922, 0.0000]],
  "formation_energy_ev_per_fu": -1.26
}

---

14.
{
  "formula": "TbSmTe2",
  "functional": "PBE",
  "state": "relaxed",
  "cell": [[4.1158, 0.0000, 1.1442], [1.8988, 3.6516, 1.1442], [-0.0299, -0.0182, 8.0818]],
  "species": ["Te", "Te", "Tb", "Sm"],
  "fractional_positions": [[0.0808, 0.0808, 0.7577], [0.2525, 0.2525, 0.2426], [0.6706, 0.6706, 0.9883], [0.4962, 0.4962, 0.5115]],
  "raw_formation_energy_ev_per_fu": -5.5
}

---

15.
{
  "formula": "CaZrCrTc2",
  "functional": "PBE",
  "state": "relaxed",
  "cell": [[-1.5987, 3.8048, 1.9246], [-4.2737, -1.9482, 0.3014], [1.0403, -1.6452, 4.1167]],
  "species": ["Ca", "Tc", "Tc", "Cr", "Zr"],
  "fractional_positions": [[0.0000, 0.5000, 0.0000], [0.0000, 0.0000, 0.5000], [0.5000, 0.0000, 0.0000], [0.0000, 0.0000, 0.0000], [0.5000, 0.5000, 0.5000]],
  "formation_energy_ev_per_fu": 4.60
}

---

16.
{
  "formula": "Th6CoPd2",
  "functional": "PBE",
  "state": "relaxed",
  "cell": [[6.4141, 0.0000, 0.1103], [0.0000, 7.4638, 0.0000], [-0.6227, 0.0000, 10.2238]],
  "species": ["Pd", "Pd", "Pd", "Pd", "Th", "Th", "Th", "Th", "Th", "Th", "Th", "Th", "Th", "Th", "Th", "Th", "Co", "Co"],
  "fractional_positions": [[0.5830, 0.8860, 0.7336], [0.4170, 0.1140, 0.2664], [0.9170, 0.3860, 0.7664], [0.0830, 0.6140, 0.2336], [0.1565, 0.3026, 0.0618], [0.6507, 0.1708, 0.9466], [0.1507, 0.3292, 0.4466], [0.3493, 0.8292, 0.0534], [0.8435, 0.6974, 0.9382], [0.6565, 0.1974, 0.5618], [0.8493, 0.6708, 0.5534], [0.8507, 0.9628, 0.2490], [0.1493, 0.0372, 0.7510], [0.3435, 0.8026, 0.4382], [0.3507, 0.5372, 0.7490], [0.6493, 0.4628, 0.2510], [0.0000, 0.0000, 0.5000], [0.5000, 0.5000, 0.0000]],
  "formation_energy_ev_per_fu": -3.32
}

---

17.
{
  "formula": "CrAs2Au",
  "functional": "PBE",
  "state": "relaxed",
  "cell": [[2.9054, 0.0000, 0.0000], [0.0000, 3.0784, -0.0057], [0.0000, 0.0250, 7.7922]],
  "species": ["Cr", "Au", "As", "As"],
  "fractional_positions": [[0.5000, 0.7500, 0.7500], [0.5000, 0.2500, 0.2500], [0.0000, 0.2507, 0.5620], [0.0000, 0.2493, 0.9380]],
  "formation_energy_ev_per_fu": 0.45
}